No. 1
A relaxed RbGeP2Cl crystal, computed with GGA-PBEsol.

Values from the calculation:
The value obtained for the formation energy (no corrections) is 1.503 eV/atom. The raw total energy comes out at -2.408 eV per atom. The energy above the most stable polymorph in this dataset comes out at 1.486 eV/atom. Its total magnetization is 1.15 μB per formula unit. As for the mass density: 2.716 Mg/m³.

Lattice parameters (Å, degrees): 5.350 5.350 5.457 90.00 90.00 90.00
Sites, in units of the cell vectors:
Rb: 0.000 0.000 0.000
Ge: 0.500 0.500 0.500
Cl: 0.000 0.000 0.500
P: 0.500 0.000 0.000
P: 0.000 0.500 0.000



No. 2
A relaxed Cr2TcSb crystal, computed with GGA-PBEsol.

Values from the calculation:
The value obtained for the formation energy (no corrections) is 0.497 eV/atom. The raw total energy comes out at -8.580 eV per atom. Its total magnetization is 0.00 μB per formula unit. As for the mass density: 9.154 Mg/m³.

Lattice parameters (Å, degrees): 2.930 2.930 8.079 79.55 79.55 60.00
Sites, in units of the cell vectors:
Cr: 0.005 0.005 0.986
Tc: 0.258 0.258 0.225
Sb: 0.498 0.498 0.506
Cr: 0.739 0.739 0.783